[1]
{"formula": "TaSiP2", "functional": "PBE", "state": "optimized geometry", "lattice": [[-2.814, 2.814, 5.056], [2.814, -2.814, 5.056], [2.814, 2.814, -5.056]], "species": ["Ta", "Ta", "Si", "Si", "P", "P", "P", "P"], "fractional_positions": [[0.000, 0.000, 0.000], [0.750, 0.250, 0.500], [0.250, 0.750, 0.500], [0.500, 0.500, 0.000], [0.150, 0.625, 0.025], [0.375, 0.400, 0.525], [0.600, 0.125, 0.975], [0.875, 0.850, 0.475]], "raw_formation_energy_ev_per_fu": 0.29, "dos_ef_per_ev_atom": 0.476}

---

[2]
{"formula": "MoAsH", "functional": "PBE", "state": "optimized geometry", "lattice": [[3.506, 0.000, 0.000], [-1.753, 3.036, 0.000], [0.000, 0.000, 3.331]], "species": ["Mo", "As", "H"], "fractional_positions": [[0.000, 0.000, 0.000], [0.667, 0.333, 0.500], [0.333, 0.667, 0.000]], "dos_ef_per_ev_atom": 0.702, "relative_energy_mev_per_atom": 152}

---

[3]
{"formula": "Cd2InN", "functional": "PBE", "state": "optimized geometry", "lattice": [[0.000, 3.402, 3.402], [3.402, 0.000, 3.402], [3.402, 3.402, 0.000]], "species": ["Cd", "Cd", "In", "N"], "fractional_positions": [[0.250, 0.250, 0.250], [0.750, 0.750, 0.750], [0.000, 0.000, 0.000], [0.500, 0.500, 0.500]], "raw_formation_energy_ev_per_fu": 4.01, "dos_ef_per_ev_atom": 0.253, "relative_energy_mev_per_atom": 526}

---

[4]
{"formula": "Be5NbPd4", "functional": "PBE", "state": "optimized geometry", "lattice": [[2.833, 0.000, 0.000], [0.000, 2.833, 0.000], [0.000, 0.000, 14.655]], "species": ["Be", "Be", "Be", "Be", "Be", "Nb", "Pd", "Pd", "Pd", "Pd"], "fractional_positions": [[0.000, 0.000, 0.000], [0.000, 0.000, 0.194], [0.000, 0.000, 0.381], [0.000, 0.000, 0.619], [0.000, 0.000, 0.806], [0.500, 0.500, 0.500], [0.500, 0.500, 0.096], [0.500, 0.500, 0.289], [0.500, 0.500, 0.711], [0.500, 0.500, 0.904]], "ef_mev_per_atom": -485, "dos_ef_per_ev_atom": 0.386}

---

[5]
{"formula": "SrCu9Sn4", "functional": "PBE", "state": "optimized geometry", "lattice": [[-4.362, 4.362, 6.270], [4.362, -4.362, 6.270], [4.362, 4.362, -6.270]], "species": ["Sr", "Sr", "Cu", "Cu", "Cu", "Cu", "Cu", "Cu", "Cu", "Cu", "Cu", "Cu", "Cu", "Cu", "Cu", "Cu", "Cu", "Cu", "Cu", "Cu", "Sn", "Sn", "Sn", "Sn", "Sn", "Sn", "Sn", "Sn"], "fractional_positions": [[0.250, 0.250, 0.000], [0.750, 0.750, 0.000], [0.000, 0.500, 0.500], [0.054, 0.798, 0.852], [0.066, 0.566, 0.284], [0.202, 0.054, 0.257], [0.218, 0.934, 0.500], [0.282, 0.782, 0.716], [0.298, 0.554, 0.852], [0.434, 0.718, 0.500], [0.446, 0.298, 0.743], [0.500, 0.000, 0.500], [0.554, 0.702, 0.257], [0.566, 0.282, 0.500], [0.702, 0.446, 0.148], [0.718, 0.218, 0.284], [0.782, 0.066, 0.500], [0.798, 0.946, 0.743], [0.934, 0.434, 0.716], [0.946, 0.202, 0.148], [0.060, 0.189, 0.500], [0.189, 0.689, 0.129], [0.311, 0.440, 0.500], [0.440, 0.940, 0.129], [0.560, 0.060, 0.871], [0.689, 0.560, 0.500], [0.811, 0.311, 0.871], [0.940, 0.811, 0.500]], "ef_mev_per_atom": -146, "dos_ef_per_ev_atom": 0.251}

---

[6]
{"formula": "Pr3DyPd12", "functional": "PBE", "state": "optimized geometry", "lattice": [[4.192, 0.000, 0.000], [0.000, 4.192, 0.000], [0.000, 0.000, 16.833]], "species": ["Pr", "Pr", "Pr", "Dy", "Pd", "Pd", "Pd", "Pd", "Pd", "Pd", "Pd", "Pd", "Pd", "Pd", "Pd", "Pd"], "fractional_positions": [[0.000, 0.000, 0.000], [0.000, 0.000, 0.254], [0.000, 0.000, 0.746], [0.000, 0.000, 0.500], [0.000, 0.500, 0.126], [0.000, 0.500, 0.380], [0.000, 0.500, 0.620], [0.000, 0.500, 0.874], [0.500, 0.000, 0.126], [0.500, 0.000, 0.380], [0.500, 0.000, 0.620], [0.500, 0.000, 0.874], [0.500, 0.500, 0.000], [0.500, 0.500, 0.253], [0.500, 0.500, 0.500], [0.500, 0.500, 0.747]], "ef_mev_per_atom": -774, "dos_ef_per_ev_atom": 0.598}

---

[7]
{"formula": "VNiGe", "functional": "PBE", "state": "optimized geometry", "lattice": [[6.338, -1.605, 0.000], [6.338, 1.605, 0.000], [-0.535, 0.000, 3.846]], "species": ["V", "V", "Ni", "Ni", "Ge", "Ge"], "fractional_positions": [[0.000, 0.000, 0.000], [0.500, 0.500, 0.500], [0.168, 0.168, 0.585], [0.832, 0.832, 0.415], [0.342, 0.342, 0.921], [0.658, 0.658, 0.079]], "ef_mev_per_atom": -254, "dos_ef_per_ev_atom": 0.814}

---

[8]
{"formula": "TaFeAs", "functional": "PBE", "state": "optimized geometry", "lattice": [[2.924, 0.000, 0.000], [-1.462, 2.532, 0.000], [0.000, 0.000, 6.224]], "species": ["Ta", "Fe", "As"], "fractional_positions": [[0.000, 0.000, 0.000], [0.667, 0.333, 0.659], [0.333, 0.667, 0.367]], "ef_mev_per_atom": 155, "dos_ef_per_ev_atom": 0.966}

---

[9]
{"formula": "Pm4Sm4Ho", "functional": "PBE", "state": "optimized geometry", "lattice": [[7.695, -2.566, 0.000], [7.695, 2.566, 0.000], [-2.575, 0.000, 7.681]], "species": ["Pm", "Pm", "Pm", "Pm", "Sm", "Sm", "Sm", "Sm", "Ho"], "fractional_positions": [[0.166, 0.166, 0.000], [0.278, 0.278, 0.667], [0.722, 0.722, 0.333], [0.834, 0.834, 0.000], [0.055, 0.055, 0.333], [0.389, 0.389, 0.332], [0.611, 0.611, 0.668], [0.945, 0.945, 0.667], [0.500, 0.500, 0.000]], "ef_mev_per_atom": 14, "dos_ef_per_ev_atom": 1.403}

---

[10]
{"formula": "Nb2VFeSe10", "functional": "PBE", "state": "optimized geometry", "lattice": [[9.975, 0.000, 0.000], [0.000, 3.486, 0.000], [-3.619, 0.000, 9.374]], "species": ["Nb", "Nb", "V", "Fe", "Se", "Se", "Se", "Se", "Se", "Se", "Se", "Se", "Se", "Se"], "fractional_positions": [[0.000, 0.000, 0.000], [0.258, 0.500, 0.411], [0.544, 0.000, 0.245], [0.731, 0.500, 0.163], [0.125, 0.000, 0.525], [0.130, 0.500, 0.884], [0.268, 0.000, 0.215], [0.380, 0.000, 0.621], [0.478, 0.500, 0.059], [0.539, 0.500, 0.433], [0.723, 0.000, 0.989], [0.795, 0.000, 0.340], [0.876, 0.500, 0.790], [0.987, 0.500, 0.193]], "raw_formation_energy_ev_per_fu": -8.37, "dos_ef_per_ev_atom": 0.354}

---

[11]
{"formula": "SnCl2O", "functional": "PBE", "state": "optimized geometry", "lattice": [[0.000, 3.449, 3.449], [3.449, 0.000, 3.449], [3.449, 3.449, 0.000]], "species": ["Sn", "Cl", "Cl", "O"], "fractional_positions": [[0.000, 0.000, 0.000], [0.250, 0.250, 0.250], [0.750, 0.750, 0.750], [0.500, 0.500, 0.500]], "raw_formation_energy_ev_per_fu": 0.05, "dos_ef_per_ev_atom": 1.304, "relative_energy_mev_per_atom": 3}

---

[12]
{"formula": "Tc2AgCl8", "functional": "PBE", "state": "optimized geometry", "lattice": [[6.577, 0.000, 0.000], [0.337, 7.051, 0.000], [0.346, 2.226, 6.706]], "species": ["Tc", "Tc", "Ag", "Cl", "Cl", "Cl", "Cl", "Cl", "Cl", "Cl", "Cl"], "fractional_positions": [[0.149, 0.417, 0.418], [0.851, 0.583, 0.582], [0.000, 0.000, 0.000], [0.198, 0.621, 0.617], [0.232, 0.687, 0.139], [0.234, 0.141, 0.689], [0.245, 0.216, 0.219], [0.755, 0.784, 0.781], [0.766, 0.859, 0.311], [0.768, 0.313, 0.861], [0.802, 0.379, 0.383]], "raw_formation_energy_ev_per_fu": -5.71, "dos_ef_per_ev_atom": 0.207, "relative_energy_mev_per_atom": 0}